Model A:
# ZrTl2PbS4 PBE relaxed
# V in Å³/f.u.: 211
# Size of the total moment in μB per atom: 0.0000
data_ZrTl2PbS4
_chemical_formula_sum 'Zr4 Tl8 Pb4 S16'
_cell_length_a 15.603
_cell_length_b 8.299
_cell_length_c 6.878
_cell_angle_alpha 90.00
_cell_angle_beta 108.80
_cell_angle_gamma 90.00
_symmetry_space_group_name_H-M 'C 1 2/c 1'
_symmetry_Int_Tables_number 15
loop_
_symmetry_equiv_pos_as_xyz
'x,y,z'
'-x,-y,-z'
'-x,y,-z+1/2'
'x,-y,z+1/2'
'x+1/2,y+1/2,z'
'-x+1/2,-y+1/2,-z'
'-x+1/2,y+1/2,-z+1/2'
'x+1/2,-y+1/2,z+1/2'
loop_
_atom_site_label
_atom_site_fract_x
_atom_site_fract_y
_atom_site_fract_z
_atom_site_occupancy
Zr1 0.000 0.123 0.250 1
Tl1 0.249 0.127 0.762 1
Pb1 0.000 0.374 0.750 1
S1 0.096 0.103 0.002 1
S2 0.106 0.340 0.463 1

***

Model B:
# ZrTl2PbS4 PBE relaxed
# V in Å³/f.u.: 210
# Size of the total moment in μB per atom: 0.0000
data_ZrTl2PbS4
_chemical_formula_sum 'Zr1 Tl2 Pb1 S4'
_cell_length_a 7.173
_cell_length_b 3.968
_cell_length_c 7.712
_cell_angle_alpha 90.00
_cell_angle_beta 106.51
_cell_angle_gamma 90.00
_symmetry_space_group_name_H-M 'P 1 2/m 1'
_symmetry_Int_Tables_number 10
loop_
_symmetry_equiv_pos_as_xyz
'x,y,z'
'-x,-y,-z'
'-x,y,-z'
'x,-y,z'
loop_
_atom_site_label
_atom_site_fract_x
_atom_site_fract_y
_atom_site_fract_z
_atom_site_occupancy
Zr1 0.000 0.000 0.000 1
Tl1 0.000 0.500 0.500 1
Tl2 0.500 0.000 0.500 1
Pb1 0.500 0.500 0.000 1
S1 0.205 0.500 0.194 1
S2 0.228 0.000 0.796 1

***

If we sort the structures by their calculated energies, the order from most to least stable is model A, model B.